No. 1
First-principles (PBE-GGA) data for a relaxed KRb2HgH crystal, as listed in Alexandria via LeMat-Bulk.

Unit cell a=5.6887 b=5.6887 c=6.7248 alpha=90.00 beta=90.00 gamma=90.00
With the nearest neighbours (Å) after each atom.
Fractional coordinates of all 5 atoms:
H: 0.0000 0.0000 0.0000  4 Rb 2.84
Rb: 0.5000 0.0000 0.0000  2 H 2.84
Rb: 0.0000 0.5000 0.0000  2 H 2.84
Hg: 0.0000 0.0000 0.5000  2 H 3.36
K: 0.5000 0.5000 0.5000  4 Hg 4.02, 8 Rb 4.40

Computed properties:
- DFT total energy (eV per atom) = -1.355


No. 2
First-principles (PBE-GGA) data for a relaxed La3Tc crystal, as listed in Alexandria via LeMat-Bulk.

Unit cell a=3.6915 b=10.5121 c=3.6915 alpha=100.11 beta=60.00 gamma=100.11
With the nearest neighbours (Å) after each atom.
Fractional coordinates of all 4 atoms:
La: 0.2500 0.7500 0.2500  12 La 3.69-3.80
Tc: 0.7500 0.2500 0.7500  6 La 2.92
La: 0.4813 0.4439 0.4813  3 Tc 2.92
La: 0.0187 0.0561 0.0187  3 Tc 2.92

Computed properties:
- energy of formation from the pure elements (eV/f.u.) = 0.99


No. 3
First-principles (PBE-GGA) data for a relaxed SiGeS3 crystal, as listed in Alexandria via LeMat-Bulk.

Unit cell a=3.6165 b=5.8180 c=11.7190 alpha=90.00 beta=98.88 gamma=90.00
With the nearest neighbours (Å) after each atom.
Fractional coordinates of all 10 atoms:
S: 0.5767 0.2669 0.1533  2 Si 2.28, 1 Ge 2.55
Si: 0.8821 0.9389 0.7642  4 S 2.07-2.28
Si: 0.1179 0.4389 0.2358  4 S 2.07-2.28
Ge: 0.6630 0.9963 0.3260  5 S 2.55-2.72
Ge: 0.3370 0.4963 0.6740  5 S 2.55-2.72
S: 0.0945 0.7831 0.1891  1 Si 2.07
S: 0.2018 0.3090 0.4037  1 Si 2.08
S: 0.4233 0.7669 0.8467  2 Si 2.28, 1 Ge 2.55
S: 0.7982 0.8090 0.5963  1 Si 2.08
S: 0.9055 0.2831 0.8109  1 Si 2.07

Computed properties:
- uncorrected formation energy (eV/atom) = -0.41


No. 4
First-principles (PBE-GGA) data for a relaxed Pr2PuSn crystal, as listed in Alexandria via LeMat-Bulk.

Unit cell a=4.7204 b=5.0148 c=5.0148 alpha=90.00 beta=90.00 gamma=90.00
With the nearest neighbours (Å) after each atom.
Fractional coordinates of all 4 atoms:
Sn: 0.5000 0.5000 0.5000  8 Pr 3.44, 4 Pu 3.55
Pu: 0.5000 0.0000 0.0000  8 Pr 3.44, 4 Sn 3.55
Pr: 0.0000 0.0000 0.5000  4 Sn 3.44, 4 Pu 3.44, 4 Pr 3.55
Pr: 0.0000 0.5000 0.0000  4 Sn 3.44, 4 Pu 3.44, 4 Pr 3.55

Computed properties:
- energy of formation from the pure elements (eV/f.u.) = -1.30


No. 5
First-principles (PBE-GGA) data for a relaxed PrPbClO2 crystal, as listed in Alexandria via LeMat-Bulk.

Unit cell a=4.1053 b=7.0288 c=8.4305 alpha=109.15 beta=90.00 gamma=90.00
With the nearest neighbours (Å) after each atom.
Fractional coordinates of all 10 atoms:
O: 0.2500 0.4990 0.1228  3 Pr 2.34-2.38, 1 Pb 2.45
O: 0.7500 0.5010 0.8772  3 Pr 2.34-2.38, 1 Pb 2.45
Cl: 0.2500 0.0480 0.8373  3 Pr 2.97-3.10, 1 O 3.29
Pr: 0.7500 0.3299 0.0783  4 O 2.34-2.38
O: 0.7500 0.4896 0.3717  1 Pr 2.36, 3 Pb 2.36-2.40
O: 0.2500 0.5104 0.6283  1 Pr 2.36, 3 Pb 2.36-2.40
Pb: 0.7500 0.3231 0.5734  4 O 2.36-2.45
Pb: 0.2500 0.6769 0.4266  4 O 2.36-2.45
Pr: 0.2500 0.6701 0.9217  4 O 2.34-2.38
Cl: 0.7500 0.9520 0.1627  3 Pr 2.97-3.10, 1 O 3.29

Computed properties:
- uncorrected formation energy (eV/atom) = -2.28


No. 6
First-principles (PBE-GGA) data for a relaxed Sr4SbH crystal, as listed in Alexandria via LeMat-Bulk.

Unit cell a=7.4484 b=8.1339 c=8.4162 alpha=103.54 beta=116.26 gamma=89.99
With the nearest neighbours (Å) after each atom.
Fractional coordinates of all 12 atoms:
Sr: 0.4659 0.0313 0.7779  1 H 2.42
Sr: 0.0825 0.1216 0.3051  2 H 3.10-3.33, 2 Sb 3.45-3.46
H: 0.0000 0.5000 0.5000  2 Sr 2.42
Sr: 0.9175 0.8784 0.6949  2 H 3.10-3.33, 2 Sb 3.45-3.46
Sr: 0.3120 0.5313 0.7779  1 H 2.42
H: 0.5000 0.0000 0.5000  2 Sr 2.42
Sb: 0.2101 0.2501 0.0001  8 Sr 3.45-3.54
Sb: 0.7899 0.7499 0.9999  8 Sr 3.45-3.54
Sr: 0.5341 0.9687 0.2221  1 H 2.42
Sr: 0.7774 0.3783 0.6947  2 H 3.10-3.33, 2 Sb 3.45-3.46
Sr: 0.6880 0.4687 0.2221  1 H 2.42
Sr: 0.2226 0.6217 0.3053  2 H 3.10-3.33, 2 Sb 3.45-3.46

Computed properties:
- DFT total energy (eV per atom) = -2.747


| no. | magnetic moment (μB/f.u.) |
| --- | --- |
| 1 | 0.0 |
| 2 | 0.0 |
| 3 | 0.0 |
| 4 | 6.5 |
| 5 | 0.0 |
| 6 | 0.0 |